# LaZrPd

An optimized crystal structure of LaZrPd (PBE, Alexandria).

Values from the calculation:
**Energy**: -19.74 eV per cell
**Formation enthalpy at 0 K**: -0.358 eV/atom
**Density of states at the Fermi level**: 4.67 states/eV per cell

Cell: 3.489 3.489 6.549 Å, 105.45 105.45 90.00°
Positions (direct):
Zr 0.700 0.700 0.399
Pd 0.307 0.307 0.614
La 0.994 0.994 0.987